(1)
A plane-wave DFT calculation with SCAN was carried out for a crystal of AlRe2Hg relaxed with PBEsol.

The symmetry is Cmmm. The formation energy from the elements is 0.443 eV per atom.

a b c (Å): 2.7188 2.7188 9.1126
angles (deg): 90.00 90.00 110.90
Element x y z (fractional)
Re: 0.0000 0.0000 0.2716
Re: 0.0000 0.0000 0.7284
Hg: 0.5000 0.5000 0.0000
Al: 0.5000 0.5000 0.5000

***

(2)
A plane-wave DFT calculation with SCAN was carried out for a crystal of Sm3Ga5O12 relaxed with PBEsol.

The symmetry is Ia-3d. The uncorrected formation energy comes out at -55.74 eV/f.u.

a b c (Å): 10.7434 10.7434 10.7434
angles (deg): 109.47 109.47 109.47
Element x y z (fractional)
Sm: 0.1250 0.7500 0.8750
Sm: 0.1250 0.3750 0.7500
Sm: 0.3750 0.1250 0.2500
Sm: 0.7500 0.3750 0.6250
Sm: 0.2500 0.1250 0.8750
Sm: 0.3750 0.2500 0.6250
Sm: 0.8750 0.2500 0.1250
Sm: 0.8750 0.6250 0.2500
Sm: 0.6250 0.8750 0.7500
Sm: 0.2500 0.6250 0.3750
Sm: 0.7500 0.8750 0.1250
Sm: 0.6250 0.7500 0.3750
Ga: 0.8750 0.7500 0.6250
Ga: 0.1250 0.2500 0.3750
Ga: 0.2500 0.8750 0.6250
Ga: 0.8750 0.1250 0.7500
Ga: 0.7500 0.6250 0.8750
Ga: 0.6250 0.3750 0.2500
Ga: 0.6250 0.2500 0.8750
Ga: 0.1250 0.8750 0.2500
Ga: 0.3750 0.6250 0.7500
Ga: 0.2500 0.3750 0.1250
Ga: 0.7500 0.1250 0.3750
Ga: 0.3750 0.7500 0.1250
Ga: 0.5000 0.0000 0.5000
Ga: 0.0000 0.0000 0.5000
Ga: 0.5000 0.0000 0.0000
Ga: 0.0000 0.5000 0.0000
Ga: 0.0000 0.0000 0.0000
Ga: 0.0000 0.5000 0.5000
Ga: 0.5000 0.5000 0.0000
Ga: 0.5000 0.5000 0.5000
O: 0.4168 0.7964 0.3221
O: 0.6204 0.5257 0.2036
O: 0.7036 0.6204 0.0257
O: 0.5257 0.7036 0.1204
O: 0.6779 0.7036 0.5832
O: 0.8796 0.0832 0.9053
O: 0.6204 0.0947 0.9168
O: 0.0947 0.6779 0.4743
O: 0.8221 0.4053 0.0257
O: 0.5257 0.8221 0.9053
O: 0.0947 0.4168 0.1204
O: 0.4053 0.5257 0.3221
O: 0.0832 0.6779 0.2036
O: 0.7036 0.0832 0.1779
O: 0.4168 0.6204 0.5947
O: 0.7964 0.9743 0.3796
O: 0.9743 0.8796 0.2964
O: 0.0832 0.4053 0.3796
O: 0.9743 0.0947 0.1779
O: 0.1779 0.5947 0.9743
O: 0.8221 0.4168 0.2964
O: 0.4053 0.8796 0.5832
O: 0.7964 0.8221 0.9168
O: 0.8796 0.7964 0.4743
O: 0.5832 0.2036 0.6779
O: 0.3796 0.4743 0.7964
O: 0.2964 0.3796 0.9743
O: 0.4743 0.2964 0.8796
O: 0.3221 0.2964 0.4168
O: 0.1204 0.9168 0.0947
O: 0.3796 0.9053 0.0832
O: 0.9053 0.3221 0.5257
O: 0.1204 0.2036 0.5257
O: 0.2036 0.1779 0.0832
O: 0.5947 0.1204 0.4168
O: 0.3221 0.0257 0.4053
O: 0.1779 0.5832 0.7036
O: 0.0257 0.9053 0.8221
O: 0.9168 0.5947 0.6204
O: 0.0257 0.1204 0.7036
O: 0.2036 0.0257 0.6204
O: 0.5832 0.3796 0.4053
O: 0.2964 0.9168 0.8221
O: 0.9168 0.3221 0.7964
O: 0.5947 0.4743 0.6779
O: 0.9053 0.5832 0.8796
O: 0.4743 0.1779 0.0947
O: 0.6779 0.9743 0.5947

***

(3)
A plane-wave DFT calculation with SCAN was carried out for a crystal of Sr2TaCoO6 relaxed with PBEsol.

The symmetry is Fm-3m. The uncorrected formation energy comes out at -28.69 eV/f.u.

a b c (Å): 5.4664 5.4664 5.4664
angles (deg): 60.00 60.00 60.00
Element x y z (fractional)
Sr: 0.7500 0.7500 0.7500
Sr: 0.2500 0.2500 0.2500
Ta: 0.0000 0.0000 0.0000
Co: 0.5000 0.5000 0.5000
O: 0.2551 0.7449 0.7449
O: 0.7449 0.2551 0.2551
O: 0.2551 0.7449 0.2551
O: 0.7449 0.2551 0.7449
O: 0.2551 0.2551 0.7449
O: 0.7449 0.7449 0.2551

***

(4)
A plane-wave DFT calculation with SCAN was carried out for a crystal of MnCd2TeO6 relaxed with PBEsol.

The symmetry is P1. The uncorrected formation energy comes out at -14.40 eV/f.u.

a b c (Å): 6.2552 6.4932 6.4521
angles (deg): 90.15 87.53 92.90
Each line ends with the local moment (μB).
Element x y z (fractional)
Mn: 0.7462 0.5589 0.0596  4.41
Mn: 0.5559 0.9697 0.7498  4.52
Cd: 0.0583 0.7506 0.5551  0.01
Cd: 0.2486 0.4420 0.9453  0.01
Cd: 0.4462 0.0505 0.2493  0.01
Cd: 0.9484 0.2511 0.4454  0.01
Te: 0.5119 0.5050 0.5062  0.05
Te: 0.9902 0.9973 0.9974  0.04
O: 0.6894 0.9002 0.0533  0.05
O: 0.9016 0.0168 0.7104  0.04
O: 0.0278 0.7034 0.9436  0.02
O: 0.2918 0.0765 0.9199  0.04
O: 0.0822 0.9772 0.2836  0.02
O: 0.9274 0.2842 0.0621  0.03
O: 0.5800 0.5500 0.7948  0.04
O: 0.4361 0.7967 0.5051  0.04
O: 0.8050 0.5681 0.3938  0.04
O: 0.4639 0.4499 0.2108  0.03
O: 0.5787 0.2123 0.5265  0.03
O: 0.2104 0.4396 0.5879  0.02

***

(5)
A plane-wave DFT calculation with SCAN was carried out for a crystal of Zn2CoTc relaxed with PBEsol.

The symmetry is Cm. The formation energy from the elements is 0.164 eV per atom.

a b c (Å): 2.6062 4.4280 4.6280
angles (deg): 98.72 90.00 107.11
Element x y z (fractional)
Co: 0.5007 0.0014 0.5252
Tc: 0.2432 0.4863 0.7213
Zn: 0.0006 0.0011 0.0168
Zn: 0.7556 0.5112 0.2367

***

(6)
A plane-wave DFT calculation with SCAN was carried out for a crystal of Be2RhPb relaxed with PBEsol.

The symmetry is F-43m. The formation energy from the elements is 0.368 eV per atom.

a b c (Å): 4.3107 4.3107 4.3107
angles (deg): 60.00 60.00 60.00
Element x y z (fractional)
Pb: 0.5000 0.5000 0.5000
Be: 0.0000 0.0000 0.0000
Be: 0.7500 0.7500 0.7500
Rh: 0.2500 0.2500 0.2500

***

(7)
A plane-wave DFT calculation with SCAN was carried out for a crystal of TiTcN2 relaxed with PBEsol.

The symmetry is Fm-3m. The uncorrected formation energy comes out at -1.32 eV/f.u.

a b c (Å): 3.7023 3.7023 3.7023
angles (deg): 60.00 60.00 60.00
Each line ends with the local moment (μB).
Element x y z (fractional)
N: 0.2500 0.2500 0.2500  -0.04
N: 0.7500 0.7500 0.7500  -0.04
Tc: 0.5000 0.5000 0.5000  0.59
Ti: 0.0000 0.0000 0.0000  0.48

***

(8)
A plane-wave DFT calculation with SCAN was carried out for a crystal of NbBiMo2Pt relaxed with PBEsol.

The symmetry is P4/mmm. The formation energy from the elements is 1.503 eV per atom.

a b c (Å): 4.6950 4.6950 5.0034
angles (deg): 90.00 90.00 90.00
Element x y z (fractional)
Mo: 0.0000 0.5000 0.0000
Mo: 0.5000 0.0000 0.0000
Nb: 0.0000 0.0000 0.0000
Bi: 0.5000 0.5000 0.5000
Pt: 0.0000 0.0000 0.5000

***

(9)
A plane-wave DFT calculation with SCAN was carried out for a crystal of TaOs3 relaxed with PBEsol.

The symmetry is Pmmn. The formation energy from the elements is -0.147 eV per atom.

a b c (Å): 4.4298 4.8512 5.5116
angles (deg): 90.00 90.00 90.00
Element x y z (fractional)
Os: 0.5000 0.3244 0.0000
Os: 0.0000 0.6756 0.5000
Os: 0.0000 0.1572 0.7481
Os: 0.0000 0.1572 0.2519
Os: 0.5000 0.8428 0.2481
Os: 0.5000 0.8428 0.7519
Ta: 0.0000 0.6486 0.0000
Ta: 0.5000 0.3514 0.5000

***

(10)
A plane-wave DFT calculation with SCAN was carried out for a crystal of ZnAg5 relaxed with PBEsol.

The symmetry is P-62m. The formation energy from the elements is 0.000 eV per atom.

a b c (Å): 4.6237 4.9050 4.9050
angles (deg): 120.00 90.00 90.00
Element x y z (fractional)
Zn: 0.5000 0.0000 0.0000
Ag: 0.0000 0.6717 0.0000
Ag: 0.0000 0.0000 0.6717
Ag: 0.0000 0.3283 0.3283
Ag: 0.5000 0.3333 0.6667
Ag: 0.5000 0.6667 0.3333

***

(11)
A plane-wave DFT calculation with SCAN was carried out for a crystal of La2ZnCl relaxed with PBEsol.

The symmetry is Pmmm. The uncorrected formation energy comes out at -4.12 eV/f.u.

a b c (Å): 3.6672 3.6303 8.1970
angles (deg): 90.03 90.00 90.00
Element x y z (fractional)
Zn: 0.5000 0.0000 0.5000
Cl: 0.5000 0.5000 0.0000
La: 0.0000 0.5002 0.7220
La: 0.0000 0.4998 0.2780

***

(12)
A plane-wave DFT calculation with SCAN was carried out for a crystal of NiHgBr2 relaxed with PBEsol.

The symmetry is Amm2. The uncorrected formation energy comes out at -0.38 eV/f.u.

a b c (Å): 3.4027 4.0065 7.1381
angles (deg): 106.32 90.00 90.00
Element x y z (fractional)
Br: 0.0000 0.1485 0.9214
Br: 0.5000 0.8515 0.3281
Hg: 0.0000 0.4805 0.5863
Ni: 0.5000 0.0194 0.6643

***

(13)
A plane-wave DFT calculation with SCAN was carried out for a crystal of Ti6Ga16Ni7 relaxed with PBEsol.

The symmetry is Fm-3m. The formation energy from the elements is -0.507 eV per atom.

a b c (Å): 8.2806 8.2806 8.2806
angles (deg): 60.00 60.00 60.00
Element x y z (fractional)
Ti: 0.2920 0.2920 0.7080
Ti: 0.7080 0.2920 0.7080
Ti: 0.7080 0.2920 0.2920
Ti: 0.7080 0.7080 0.2920
Ti: 0.2920 0.7080 0.2920
Ti: 0.2920 0.7080 0.7080
Ga: 0.8767 0.3698 0.8767
Ga: 0.8767 0.8767 0.3698
Ga: 0.8767 0.8767 0.8767
Ga: 0.3698 0.8767 0.8767
Ga: 0.1233 0.6302 0.1233
Ga: 0.1233 0.1233 0.6302
Ga: 0.1233 0.1233 0.1233
Ga: 0.6302 0.1233 0.1233
Ga: 0.6500 0.0501 0.6500
Ga: 0.6500 0.6500 0.0501
Ga: 0.6500 0.6500 0.6500
Ga: 0.0501 0.6500 0.6500
Ga: 0.3500 0.9499 0.3500
Ga: 0.3500 0.3500 0.9499
Ga: 0.3500 0.3500 0.3500
Ga: 0.9499 0.3500 0.3500
Ni: 0.0000 0.0000 0.0000
Ni: 0.5000 0.5000 0.0000
Ni: 0.0000 0.5000 0.0000
Ni: 0.0000 0.5000 0.5000
Ni: 0.0000 0.0000 0.5000
Ni: 0.5000 0.0000 0.5000
Ni: 0.5000 0.0000 0.0000

***

(14)
A plane-wave DFT calculation with SCAN was carried out for a crystal of IrRh2Br relaxed with PBEsol.

The symmetry is P4mm. The uncorrected formation energy comes out at 2.83 eV/f.u.

a b c (Å): 2.8321 2.8321 7.5476
angles (deg): 90.00 90.00 90.00
Each line ends with the local moment (μB).
Element x y z (fractional)
Ir: 0.5000 0.5000 0.7725  0.02
Rh: 0.0000 0.0000 0.0001  0.33
Rh: 0.5000 0.5000 0.2359  0.15
Br: 0.0000 0.0000 0.4916  0.04

***

(15)
A plane-wave DFT calculation with SCAN was carried out for a crystal of InMoPb2 relaxed with PBEsol.

The symmetry is C2/m. The formation energy from the elements is 0.685 eV per atom.

a b c (Å): 3.3780 5.3241 5.3241
angles (deg): 106.94 91.28 91.28
Each line ends with the local moment (μB).
Element x y z (fractional)
In: 0.5000 0.5000 0.5000  -0.01
Mo: 0.5000 0.0000 0.0000  2.42
Pb: 0.0000 0.0000 0.5000  -0.02
Pb: 0.0000 0.5000 0.0000  -0.02

***

(16)
A plane-wave DFT calculation with SCAN was carried out for a crystal of YReO2 relaxed with PBEsol.

The symmetry is I-42d. The uncorrected formation energy comes out at -5.75 eV/f.u.

a b c (Å): 4.2794 4.2794 6.7961
angles (deg): 108.35 108.35 90.00
Element x y z (fractional)
Y: 0.7500 0.2500 0.5000
Y: 0.5000 0.5000 0.0000
Re: 0.2500 0.7500 0.5000
Re: 0.0000 0.0000 0.0000
O: 0.9444 0.3750 0.2500
O: 0.3056 0.8750 0.2500
O: 0.6250 0.6944 0.7500
O: 0.1250 0.0556 0.7500

***

(17)
A plane-wave DFT calculation with SCAN was carried out for a crystal of Li2Re2F relaxed with PBEsol.

The symmetry is I4/mmm. The uncorrected formation energy comes out at -1.13 eV/f.u.

a b c (Å): 3.4006 3.4006 7.9919
angles (deg): 102.28 102.28 90.00
Element x y z (fractional)
Re: 0.2500 0.7500 0.5000
Re: 0.7500 0.2500 0.5000
Li: 0.4130 0.4130 0.8260
Li: 0.5870 0.5870 0.1740
F: 0.0000 0.0000 0.0000

***

(18)
A plane-wave DFT calculation with SCAN was carried out for a crystal of ErRe2O8 relaxed with PBEsol.

The symmetry is P-3. The uncorrected formation energy comes out at -23.34 eV/f.u.

a b c (Å): 6.0447 6.0447 6.3296
angles (deg): 90.00 90.00 120.00
Each line ends with the local moment (μB).
Element x y z (fractional)
Er: 0.0000 0.0000 0.0000  -0.09
Re: 0.3333 0.6667 0.2897  -0.33
Re: 0.6667 0.3333 0.7103  -0.33
O: 0.6505 0.8269 0.1920  -0.01
O: 0.8236 0.6505 0.8080  -0.01
O: 0.8269 0.1764 0.8080  -0.01
O: 0.3333 0.6667 0.5631  -0.03
O: 0.6667 0.3333 0.4369  -0.03
O: 0.1731 0.8236 0.1920  -0.01
O: 0.1764 0.3495 0.1920  -0.01
O: 0.3495 0.1731 0.8080  -0.01

***

(19)
A plane-wave DFT calculation with SCAN was carried out for a crystal of YScCo3 relaxed with PBEsol.

The symmetry is Pm-3m. The formation energy from the elements is 1.194 eV per atom.

a b c (Å): 4.4945 4.4945 4.4945
angles (deg): 90.00 90.00 90.00
Each line ends with the local moment (μB).
Element x y z (fractional)
Y: 0.0000 0.0000 0.0000  -0.20
Sc: 0.5000 0.5000 0.5000  -0.15
Co: 0.0000 0.5000 0.0000  1.31
Co: 0.0000 0.0000 0.5000  1.31
Co: 0.5000 0.0000 0.0000  1.31

***

(20)
A plane-wave DFT calculation with SCAN was carried out for a crystal of Li3Pt relaxed with PBEsol.

The symmetry is C2/m. The formation energy from the elements is -0.468 eV per atom.

a b c (Å): 2.7769 4.6101 4.6369
angles (deg): 99.26 90.00 107.53
Element x y z (fractional)
Pt: 0.5000 0.0000 0.0000
Li: 0.7579 0.5158 0.7761
Li: 0.2421 0.4842 0.2239
Li: 0.0000 0.0000 0.5000